1.
Here is a geometry-optimized LiPrGa2Au5 structure from Alexandria via LeMat-Bulk. Energies are from PBE-GGA.

total magnetic moment = 0.0 μB/cell
symmetry = P4/mmm, No. 123
D(E_F) = 0.2750 states/eV per atom
formation enthalpy at 0 K = -0.40 eV/atom

a b c (Å): 4.7156 4.7156 8.5937
angles (deg): 90.00 90.00 90.00
Fractional coordinates of all 9 atoms:
Li1 0.0000 0.0000 0.0000
Pr1 0.0000 0.0000 0.5000
Ga1 0.5000 0.5000 0.1446
Ga2 0.5000 0.5000 0.8554
Au1 0.0000 0.5000 0.2646
Au2 0.0000 0.5000 0.7354
Au3 0.5000 0.0000 0.2646
Au4 0.5000 0.0000 0.7354
Au5 0.5000 0.5000 0.5000



2.
Here is a geometry-optimized Li2PrGaAu4 structure from Alexandria via LeMat-Bulk. Energies are from PBE-GGA.

total magnetic moment = 0.0 μB/cell
symmetry = R-3m, No. 166
D(E_F) = 0.3968 states/eV per atom
formation enthalpy at 0 K = -0.56 eV/atom

a b c (Å): 9.2163 9.2163 9.2163
angles (deg): 28.19 28.19 28.19
Fractional coordinates of all 8 atoms:
Li1 0.2360 0.2360 0.2360
Li2 0.7640 0.7640 0.7640
Pr1 0.0000 0.0000 0.0000
Ga1 0.5000 0.5000 0.5000
Au1 0.1286 0.1286 0.1286
Au2 0.3992 0.3992 0.3992
Au3 0.6008 0.6008 0.6008
Au4 0.8714 0.8714 0.8714



3.
Here is a geometry-optimized LiPr3Ga2Au6 structure from Alexandria via LeMat-Bulk. Energies are from PBE-GGA.

total magnetic moment = 0.0 μB/cell
symmetry = P-3m1, No. 164
D(E_F) = 0.4767 states/eV per atom
formation enthalpy at 0 K = -0.51 eV/atom

a b c (Å): 6.1839 6.1839 8.4026
angles (deg): 90.00 90.00 120.00
Fractional coordinates of all 12 atoms:
Li1 0.0000 0.0000 0.0000
Pr1 0.0000 0.0000 0.5000
Pr2 0.3333 0.6667 0.1344
Pr3 0.6667 0.3333 0.8656
Ga1 0.3333 0.6667 0.5190
Ga2 0.6667 0.3333 0.4810
Au1 0.1764 0.3528 0.7854
Au2 0.1764 0.8236 0.7854
Au3 0.3528 0.1764 0.2146
Au4 0.6472 0.8236 0.7854
Au5 0.8236 0.1764 0.2146
Au6 0.8236 0.6472 0.2146



4.
Here is a geometry-optimized LiPrGaAu structure from Alexandria via LeMat-Bulk. Energies are from PBE-GGA.

total magnetic moment = 0.0 μB/cell
symmetry = F-43m, No. 216
D(E_F) = 0.5978 states/eV per atom
formation enthalpy at 0 K = -0.53 eV/atom

a b c (Å): 4.9839 4.9839 4.9839
angles (deg): 60.00 60.00 60.00
Fractional coordinates of all 4 atoms:
Li1 0.0000 0.0000 0.0000
Pr1 0.5000 0.5000 0.5000
Ga1 0.7500 0.7500 0.7500
Au1 0.2500 0.2500 0.2500



5.
Here is a geometry-optimized LiPrGa4Au2 structure from Alexandria via LeMat-Bulk. Energies are from PBE-GGA.

total magnetic moment = 0.0 μB/cell
symmetry = R-3m, No. 166
D(E_F) = 0.2980 states/eV per atom
formation enthalpy at 0 K = -0.47 eV/atom

a b c (Å): 9.1771 9.1771 9.1771
angles (deg): 28.03 28.03 28.03
Fractional coordinates of all 8 atoms:
Li1 0.0000 0.0000 0.0000
Pr1 0.5000 0.5000 0.5000
Ga1 0.1040 0.1040 0.1040
Ga2 0.3733 0.3733 0.3733
Ga3 0.6267 0.6267 0.6267
Ga4 0.8960 0.8960 0.8960
Au1 0.2672 0.2672 0.2672
Au2 0.7328 0.7328 0.7328



6.
Here is a geometry-optimized LiPrGaAu2 structure from Alexandria via LeMat-Bulk. Energies are from PBE-GGA.

total magnetic moment = 0.0 μB/cell
symmetry = I-4m2, No. 119
D(E_F) = 0.7393 states/eV per atom
formation enthalpy at 0 K = -0.64 eV/atom

a b c (Å): 6.9107 6.9107 6.9107
angles (deg): 145.58 145.58 49.47
Fractional coordinates of all 5 atoms:
Li1 0.0000 0.0000 0.0000
Pr1 0.2500 0.7500 0.5000
Ga1 0.5000 0.5000 0.0000
Au1 0.6361 0.1361 0.5000
Au2 0.8639 0.3639 0.5000